## SrBiSb2 (PBE-GGA)

Data for a geometry-optimized SrBiSb2 structure.

Properties
Symmetry: No. 166
Formation energy (no corrections) (eV per atom): -0.32
Total DFT energy (no corrections) (eV/atom): -3.768

Unit cell a=5.397 b=5.397 c=6.104 alpha=63.76 beta=63.76 gamma=60.00
Positions (direct):
Sr1 0.000 0.000 0.000
Sb1 0.777 0.777 0.669
Sb2 0.223 0.223 0.331
Bi1 0.500 0.500 0.500

## Sr2BiSb3 (PBE-GGA)

Data for a geometry-optimized Sr2BiSb3 structure.

Properties
Symmetry: No. 71
Formation energy (no corrections) (eV per atom): -0.46
Total DFT energy (no corrections) (eV/atom): -3.725

Unit cell a=4.065 b=6.669 c=8.773 alpha=112.34 beta=103.40 gamma=90.00
Positions (direct):
Sb1 0.346 0.346 0.693
Sr1 0.329 0.829 0.658
Sb2 0.654 0.654 0.307
Sr2 0.671 0.171 0.342
Bi1 0.000 0.500 0.000
Sb3 0.000 0.000 0.000

## Sr3BiSb (PBE-GGA)

Data for a geometry-optimized Sr3BiSb structure.

Properties
Symmetry: No. 221
Formation energy (no corrections) (eV per atom): -0.64
Total DFT energy (no corrections) (eV/atom): -3.247

Unit cell a=6.155 b=6.155 c=6.155 alpha=90.00 beta=90.00 gamma=90.00
Positions (direct):
Sr1 0.500 0.000 0.000
Bi1 0.500 0.500 0.500
Sb1 0.000 0.000 0.000
Sr2 0.000 0.000 0.500
Sr3 0.000 0.500 0.000

## SrBi3Sb (PBE-GGA)

Data for a geometry-optimized SrBi3Sb structure.

Properties
Symmetry: No. 221
Formation energy (no corrections) (eV per atom): 0.86
Total DFT energy (no corrections) (eV/atom): -2.627

Unit cell a=6.049 b=6.049 c=6.049 alpha=90.00 beta=90.00 gamma=90.00
Positions (direct):
Sr1 0.000 0.000 0.000
Bi1 0.000 0.000 0.500
Sb1 0.500 0.500 0.500
Bi2 0.500 0.000 0.000
Bi3 0.000 0.500 0.000

## Sr4BiSb2 (PBE-GGA)

Data for a geometry-optimized Sr4BiSb2 structure.

Properties
Symmetry: No. 141
Formation energy (no corrections) (eV per atom): -0.86
Total DFT energy (no corrections) (eV/atom): -3.552

Unit cell a=9.115 b=9.115 c=9.115 alpha=109.69 beta=109.36 gamma=109.36
Positions (direct):
Bi1 0.500 0.750 0.250
Sr1 0.316 0.248 0.932
Sr2 0.816 0.682 0.498
Sb1 0.750 0.375 0.125
Sb2 0.750 0.375 0.625
Sb3 0.250 0.875 0.625
Sr3 0.684 0.068 0.752
Sr4 0.816 0.134 0.318
Sr5 0.684 0.616 0.932
Sb4 0.250 0.375 0.625
Sr6 0.316 0.068 0.384
Sr7 0.184 0.682 0.866
Bi2 0.000 0.000 0.000
Sr8 0.184 0.502 0.318

## SrBi3Sb (PBE-GGA)

Data for a geometry-optimized SrBi3Sb structure.

Properties
Symmetry: No. 221
Formation energy (no corrections) (eV per atom): 0.17
Total DFT energy (no corrections) (eV/atom): -3.323

Unit cell a=5.896 b=5.896 c=5.896 alpha=90.00 beta=90.00 gamma=90.00
Positions (direct):
Sb1 0.000 0.000 0.000
Bi1 0.500 0.000 0.000
Sr1 0.500 0.500 0.500
Bi2 0.000 0.000 0.500
Bi3 0.000 0.500 0.000

## SrBiSbTe2 (PBE-GGA)

Data for a geometry-optimized SrBiSbTe2 structure.

Properties
Symmetry: No. 123
Formation energy (no corrections) (eV per atom): 0.57
Total DFT energy (no corrections) (eV/atom): -2.628

Unit cell a=5.992 b=6.188 c=5.992 alpha=90.00 beta=90.00 gamma=90.00
Positions (direct):
Te1 0.000 0.000 0.500
Bi1 0.000 0.500 0.000
Sb1 0.500 0.500 0.500
Te2 0.500 0.000 0.000
Sr1 0.000 0.000 0.000

## SrBi2SbTe (PBE-GGA)

Data for a geometry-optimized SrBi2SbTe structure.

Properties
Symmetry: No. 123
Formation energy (no corrections) (eV per atom): 0.71
Total DFT energy (no corrections) (eV/atom): -2.628

Unit cell a=6.156 b=5.877 c=6.156 alpha=90.00 beta=90.00 gamma=90.00
Positions (direct):
Te1 0.000 0.500 0.000
Bi1 0.000 0.000 0.500
Bi2 0.500 0.000 0.000
Sb1 0.500 0.500 0.500
Sr1 0.000 0.000 0.000

## SrBiSbTe2 (PBE-GGA)

Data for a geometry-optimized SrBiSbTe2 structure.

Properties
Symmetry: No. 123
Formation energy (no corrections) (eV per atom): 0.49
Total DFT energy (no corrections) (eV/atom): -2.705

Unit cell a=6.009 b=6.009 c=6.030 alpha=90.00 beta=90.00 gamma=90.00
Positions (direct):
Te1 0.500 0.000 0.000
Sb1 0.000 0.000 0.500
Te2 0.000 0.500 0.000
Bi1 0.500 0.500 0.500
Sr1 0.000 0.000 0.000

## SrBiSbTe2 (PBE-GGA)

Data for a geometry-optimized SrBiSbTe2 structure.

Properties
Symmetry: No. 123
Formation energy (no corrections) (eV per atom): -0.10
Total DFT energy (no corrections) (eV/atom): -3.294

Unit cell a=5.992 b=5.992 c=5.760 alpha=90.00 beta=90.00 gamma=90.00
Each line ends with the local moment (μB).
Positions (direct):
Bi1 0.000 0.000 0.000  0.00
Sr1 0.500 0.500 0.500  0.01
Te1 0.000 0.500 0.000  0.04
Te2 0.500 0.000 0.000  0.04
Sb1 0.000 0.000 0.500  0.14

## Sr5Bi2SbTe (PBE-GGA)

Data for a geometry-optimized Sr5Bi2SbTe structure.

Properties
Symmetry: No. 71
Formation energy (no corrections) (eV per atom): -0.79
Total DFT energy (no corrections) (eV/atom): -3.391

Unit cell a=5.765 b=8.199 c=9.832 alpha=114.64 beta=107.05 gamma=90.00
Positions (direct):
Sr1 0.644 0.891 0.289
Sr2 0.356 0.602 0.711
Sb1 0.500 0.000 0.000
Sr3 0.644 0.398 0.289
Te1 0.000 0.500 0.000
Bi1 0.198 0.198 0.396
Sr4 0.000 0.000 0.000
Bi2 0.802 0.802 0.604
Sr5 0.356 0.109 0.711

## SrTlBiSb (PBE-GGA)

Data for a geometry-optimized SrTlBiSb structure.

Properties
Symmetry: No. 216
Formation energy (no corrections) (eV per atom): -0.31
Total DFT energy (no corrections) (eV/atom): -3.324

Unit cell a=5.672 b=5.672 c=5.672 alpha=60.00 beta=60.00 gamma=60.00
Positions (direct):
Tl1 0.000 0.000 0.000
Bi1 0.250 0.250 0.250
Sb1 0.500 0.500 0.500
Sr1 0.750 0.750 0.750

## Sr2TlBiSb (PBE-GGA)

Data for a geometry-optimized Sr2TlBiSb structure.

Properties
Symmetry: No. 11
Formation energy (no corrections) (eV per atom): -0.70
Total DFT energy (no corrections) (eV/atom): -3.442

Unit cell a=4.836 b=9.384 c=9.668 alpha=124.66 beta=90.00 gamma=90.00
Positions (direct):
Sb1 0.250 0.721 0.782
Sr1 0.250 0.287 0.459
Bi1 0.750 0.148 0.638
Tl1 0.750 0.528 0.116
Sr2 0.750 0.863 0.080
Sr3 0.750 0.713 0.541
Sr4 0.250 0.137 0.920
Sb2 0.750 0.279 0.218
Tl2 0.250 0.472 0.884
Bi2 0.250 0.852 0.362

## SrTl2BiSb2 (PBE-GGA)

Data for a geometry-optimized SrTl2BiSb2 structure.

Properties
Symmetry: No. 26
Formation energy (no corrections) (eV per atom): -0.29
Total DFT energy (no corrections) (eV/atom): -3.377

Unit cell a=4.828 b=8.058 c=10.648 alpha=90.00 beta=90.00 gamma=90.00
Positions (direct):
Tl1 0.500 0.057 0.062
Tl2 0.500 0.557 0.938
Tl3 0.000 0.846 0.820
Sb1 0.500 0.770 0.577
Bi1 0.500 0.132 0.703
Sb2 0.000 0.765 0.133
Tl4 0.000 0.346 0.180
Sb3 0.000 0.265 0.867
Sb4 0.500 0.270 0.423
Sr1 0.000 0.476 0.591
Sr2 0.000 0.976 0.409
Bi2 0.500 0.632 0.297

## SrTlBiSb (PBE-GGA)

Data for a geometry-optimized SrTlBiSb structure.

Properties
Symmetry: No. 47
Formation energy (no corrections) (eV per atom): -0.46
Total DFT energy (no corrections) (eV/atom): -3.473

Unit cell a=4.949 b=5.052 c=5.027 alpha=90.00 beta=90.00 gamma=90.00
Positions (direct):
Sb1 0.000 0.500 0.500
Bi1 0.500 0.000 0.500
Tl1 0.000 0.000 0.000
Sr1 0.500 0.500 0.000

## Sr2ZnBiSb (PBE-GGA)

Data for a geometry-optimized Sr2ZnBiSb structure.

Properties
Symmetry: No. 11
Formation energy (no corrections) (eV per atom): -0.75
Total DFT energy (no corrections) (eV/atom): -3.279

Unit cell a=4.893 b=7.047 c=9.814 alpha=93.00 beta=90.00 gamma=90.00
Positions (direct):
Sr1 0.750 0.815 0.645
Bi1 0.250 0.708 0.383
Sb1 0.750 0.242 0.132
Zn1 0.750 0.483 0.360
Sr2 0.750 0.746 0.096
Sr3 0.250 0.185 0.355
Sb2 0.250 0.758 0.868
Bi2 0.750 0.292 0.617
Sr4 0.250 0.254 0.904
Zn2 0.250 0.517 0.640

## Ta2BiSb (PBE-GGA)

Data for a geometry-optimized Ta2BiSb structure.

Properties
Symmetry: No. 225
Formation energy (no corrections) (eV per atom): 0.38
Total DFT energy (no corrections) (eV/atom): -7.548

Unit cell a=4.901 b=4.901 c=4.901 alpha=60.00 beta=60.00 gamma=60.00
Positions (direct):
Ta1 0.750 0.750 0.750
Bi1 0.500 0.500 0.500
Ta2 0.250 0.250 0.250
Sb1 0.000 0.000 0.000

## Ta2BiSb (PBE-GGA)

Data for a geometry-optimized Ta2BiSb structure.

Properties
Symmetry: No. 122
Formation energy (no corrections) (eV per atom): 0.71
Total DFT energy (no corrections) (eV/atom): -7.218

Unit cell a=4.308 b=4.308 c=10.563 alpha=78.23 beta=78.23 gamma=90.00
Positions (direct):
Sb1 0.250 0.750 0.500
Ta1 0.875 0.857 0.750
Ta2 0.607 0.125 0.250
Ta3 0.143 0.625 0.250
Bi1 0.000 0.000 0.000
Ta4 0.375 0.393 0.750
Bi2 0.750 0.250 0.500
Sb2 0.500 0.500 0.000

## Ta2BiSb2 (PBE-GGA)

Data for a geometry-optimized Ta2BiSb2 structure.

Properties
Symmetry: No. 127
Formation energy (no corrections) (eV per atom): 0.20
Total DFT energy (no corrections) (eV/atom): -6.971

Unit cell a=8.074 b=8.074 c=3.468 alpha=90.00 beta=90.00 gamma=90.00
Positions (direct):
Ta1 0.138 0.362 0.000
Sb1 0.352 0.148 0.500
Bi1 0.500 0.500 0.000
Ta2 0.362 0.862 0.000
Sb2 0.648 0.852 0.500
Ta3 0.638 0.138 0.000
Bi2 0.000 0.000 0.000
Sb3 0.148 0.648 0.500
Sb4 0.852 0.352 0.500
Ta4 0.862 0.638 0.000

## TaBi3Sb (PBE-GGA)

Data for a geometry-optimized TaBi3Sb structure.

Properties
Symmetry: No. 221
Formation energy (no corrections) (eV per atom): 1.68
Total DFT energy (no corrections) (eV/atom): -3.848

Unit cell a=5.669 b=5.669 c=5.669 alpha=90.00 beta=90.00 gamma=90.00
Each line ends with the local moment (μB).
Positions (direct):
Bi1 0.500 0.000 0.000  0.04
Bi2 0.000 0.000 0.500  0.02
Ta1 0.500 0.500 0.500  -0.07
Bi3 0.000 0.500 0.000  0.04
Sb1 0.000 0.000 0.000  0.00